# CsV2InO

A relaxed CsV2InO crystal (PBE+U, Alexandria via LeMat-Bulk).

Space group ... P4/mmm (123)
Final energy ... -4.35 eV per atom

abc: 4.514 4.514 5.736
angles: 90.00 90.00 90.00
Fractional coordinates of all 5 atoms:
Cs 0.000 0.000 0.000
V 0.000 0.500 0.500
V 0.500 0.000 0.500
In 0.500 0.500 0.000
O 0.000 0.000 0.500